Record 1
The following is a PBE calculation of LaZnCr2 after structural relaxation, from Alexandria via LeMat-Bulk.

Cell: 5.9174 5.9174 5.9174 Å, 102.03 102.03 125.66°
With the nearest neighbours (Å) after each atom.
Fractional positions:
1 La 0.0000 0.0000 0.0000  2 Zn 2.70, 4 Cr 2.94
2 La 0.7500 0.2500 0.5000  2 Zn 2.70, 4 Cr 2.94
3 Zn 0.2500 0.7500 0.5000  4 Cr 2.51, 2 La 2.70
4 Zn 0.5000 0.5000 0.0000  4 Cr 2.51, 2 La 2.70
5 Cr 0.1670 0.6250 0.0420  2 Zn 2.51, 2 Cr 2.77
6 Cr 0.3750 0.4170 0.5420  2 Zn 2.51, 2 Cr 2.77
7 Cr 0.5830 0.1250 0.9580  2 Zn 2.51, 2 Cr 2.77
8 Cr 0.8750 0.8330 0.4580  2 Zn 2.51, 2 Cr 2.77

- Calculated formation energy: 1.089 eV per atom
- ρ: 6.84 g/cm3
- Total moment: 0.0 μB per formula unit

Record 2
The following is a PBE calculation of LaZnCr2 after structural relaxation, from Alexandria via LeMat-Bulk.

Cell: 4.3483 4.3483 5.8210 Å, 111.99 111.99 60.03°
With the nearest neighbours (Å) after each atom.
Fractional positions:
1 La 0.0000 0.0000 0.0000  7 Cr 3.14-3.38, 4 Zn 3.16-3.27
2 Zn 0.7995 0.7995 0.3979  6 Cr 2.67-2.72
3 Cr 0.1998 0.1998 0.5983  3 Cr 2.51-2.52, 3 Zn 2.72
4 Cr 0.5230 0.5230 0.5684  3 Cr 2.51-2.52, 3 Zn 2.67

- Calculated formation energy: 0.211 eV per atom
- ρ: 5.96 g/cm3
- Total moment: 0.0 μB per formula unit

Record 3
The following is a PBE calculation of LaZn2Cr after structural relaxation, from Alexandria via LeMat-Bulk.

Cell: 9.6326 9.6326 9.6326 Å, 151.95 151.95 40.09°
With the nearest neighbours (Å) after each atom.
Fractional positions:
1 La 0.0000 0.0000 0.0000  4 Zn 3.24, 4 Cr 3.30
2 La 0.7500 0.2500 0.5000  4 Zn 3.24, 4 Cr 3.30
3 Zn 0.3028 0.6250 0.1778  2 Zn 2.43, 2 Cr 2.57
4 Zn 0.3750 0.5528 0.6778  2 Zn 2.43, 2 Cr 2.57
5 Zn 0.4472 0.1250 0.8222  2 Zn 2.43, 2 Cr 2.57
6 Zn 0.8750 0.6972 0.3222  2 Zn 2.43, 2 Cr 2.57
7 Cr 0.2500 0.7500 0.5000  4 Zn 2.57
8 Cr 0.5000 0.5000 0.0000  4 Zn 2.57

- Calculated formation energy: 0.297 eV per atom
- ρ: 5.42 g/cm3
- Total moment: 3.7 μB per formula unit

Record 4
The following is a PBE calculation of LaZnCr2 after structural relaxation, from Alexandria via LeMat-Bulk.

Cell: 5.6195 5.6195 3.1038 Å, 104.01 104.01 113.88°
With the nearest neighbours (Å) after each atom.
Fractional positions:
1 La 0.0000 0.0000 0.0000  4 Cr 2.86, 2 Zn 3.07, 2 La 3.10
2 Zn 0.5000 0.5000 0.0000  4 Cr 2.86, 2 La 3.07, 2 Zn 3.10
3 Cr 0.0000 0.5000 0.5000  2 La 2.86, 2 Zn 2.86, 4 Cr 3.07-3.10
4 Cr 0.5000 0.0000 0.5000  2 La 2.86, 2 Zn 2.86, 4 Cr 3.07-3.10

- Calculated formation energy: 0.695 eV per atom
- ρ: 6.37 g/cm3
- Total moment: 6.8 μB per formula unit

Record 5
The following is a PBE calculation of LaZn2Cr after structural relaxation, from Alexandria via LeMat-Bulk.

Cell: 4.3631 4.3631 4.5525 Å, 90.00 90.00 90.00°
With the nearest neighbours (Å) after each atom.
Fractional positions:
1 La 0.0000 0.0000 0.0000  4 Cr 3.09, 8 Zn 3.15
2 Zn 0.0000 0.5000 0.5000  4 Zn 3.09, 4 Cr 3.15, 4 La 3.15
3 Zn 0.5000 0.0000 0.5000  4 Zn 3.09, 4 Cr 3.15, 4 La 3.15
4 Cr 0.5000 0.5000 0.0000  4 La 3.09, 8 Zn 3.15

- Calculated formation energy: 0.225 eV per atom
- ρ: 6.16 g/cm3
- Total moment: 3.7 μB per formula unit

Record 6
The following is a PBE calculation of La2ZnCr after structural relaxation, from Alexandria via LeMat-Bulk.

Cell: 6.3111 6.3111 6.3111 Å, 43.66 43.66 43.66°
With the nearest neighbours (Å) after each atom.
Fractional positions:
1 La 0.0000 0.0000 0.0000  3 Cr 3.18, 3 Zn 3.20, 1 La 3.37
2 La 0.1970 0.1970 0.1970  3 Zn 3.18, 3 Cr 3.20, 1 La 3.37
3 Zn 0.7663 0.7663 0.7663  3 Cr 2.71
4 Cr 0.4304 0.4304 0.4304  3 Zn 2.71

- Calculated formation energy: 0.119 eV per atom
- ρ: 6.03 g/cm3
- Total moment: 3.7 μB per formula unit

Record 7
The following is a PBE calculation of LaZnCr2 after structural relaxation, from Alexandria via LeMat-Bulk.

Cell: 4.8717 4.8717 4.8717 Å, 120.88 119.75 89.46°
With the nearest neighbours (Å) after each atom.
Fractional positions:
1 La 0.0000 0.0000 0.0000  4 Cr 2.97-2.98, 4 Zn 2.97-2.98
2 Zn 0.7447 0.2447 0.5000  4 Cr 2.95-3.01, 4 La 2.97-2.98
3 Cr 0.2554 0.7554 0.5000  4 Cr 2.93-3.03, 4 La 2.97-2.98
4 Cr 0.4976 0.4976 0.0000  4 Cr 2.93-3.03, 4 Zn 2.95-3.01

- Calculated formation energy: 0.309 eV per atom
- ρ: 6.29 g/cm3
- Total moment: 0.4 μB per formula unit

Record 8
The following is a PBE calculation of LaZnCr2 after structural relaxation, from Alexandria via LeMat-Bulk.

Cell: 4.2228 4.3621 4.3879 Å, 90.00 90.00 90.00°
With the nearest neighbours (Å) after each atom.
Fractional positions:
1 La 0.0000 0.0000 0.0000  8 Cr 3.04, 4 Zn 3.09
2 Zn 0.0000 0.5000 0.5000  8 Cr 3.04, 4 La 3.09
3 Cr 0.5000 0.0000 0.5000  4 Zn 3.04, 4 La 3.04, 4 Cr 3.09
4 Cr 0.5000 0.5000 0.0000  4 La 3.04, 4 Zn 3.04, 4 Cr 3.09

- Calculated formation energy: 0.476 eV per atom
- ρ: 6.33 g/cm3
- Total moment: 0.0 μB per formula unit

Record 9
The following is a PBE calculation of LaZn2Cr after structural relaxation, from Alexandria via LeMat-Bulk.

Cell: 4.4022 4.4022 5.7720 Å, 112.53 112.53 60.11°
With the nearest neighbours (Å) after each atom.
Fractional positions:
1 La 0.0000 0.0000 0.0000  4 Zn 3.08-3.30, 4 Cr 3.09-3.29
2 Zn 0.1989 0.1989 0.5957  3 Zn 2.60-2.61, 3 Cr 2.73
3 Zn 0.4949 0.4949 0.4843  3 Cr 2.58, 3 Zn 2.60-2.61
4 Cr 0.8011 0.8011 0.4025  6 Zn 2.58-2.73

- Calculated formation energy: 0.039 eV per atom
- ρ: 6.14 g/cm3
- Total moment: 3.1 μB per formula unit

Record 10
The following is a PBE calculation of La2ZnCr after structural relaxation, from Alexandria via LeMat-Bulk.

Cell: 3.7708 3.7964 7.4191 Å, 90.00 90.00 90.00°
With the nearest neighbours (Å) after each atom.
Fractional positions:
1 La 0.0000 0.0000 0.2498  4 Zn 3.25, 4 Cr 3.26
2 La 0.0000 0.0000 0.7502  4 Zn 3.25, 4 Cr 3.26
3 Zn 0.5000 0.5000 0.0000  8 La 3.25
4 Cr 0.5000 0.5000 0.5000  8 La 3.26

- Calculated formation energy: 0.083 eV per atom
- ρ: 6.18 g/cm3
- Total moment: 3.4 μB per formula unit

Record 11
The following is a PBE calculation of La2ZnCr after structural relaxation, from Alexandria via LeMat-Bulk.

Cell: 9.1890 9.1890 9.1890 Å, 24.13 24.13 24.13°
With the nearest neighbours (Å) after each atom.
Fractional positions:
1 La 0.2466 0.2466 0.2466  3 Cr 3.08, 3 Zn 3.21
2 La 0.7534 0.7534 0.7534  3 Cr 3.08, 3 Zn 3.21
3 Zn 0.0000 0.0000 0.0000  6 La 3.21
4 Cr 0.5000 0.5000 0.5000  6 La 3.08

- Calculated formation energy: 0.317 eV per atom
- ρ: 5.76 g/cm3
- Total moment: 3.5 μB per formula unit

Record 12
The following is a PBE calculation of LaZnCr2 after structural relaxation, from Alexandria via LeMat-Bulk.

Cell: 2.8871 2.8871 9.1727 Å, 90.00 90.00 114.64°
With the nearest neighbours (Å) after each atom.
Fractional positions:
1 La 0.0000 0.0000 0.0000  6 La 2.89-3.12, 2 Cr 3.08
2 Zn 0.5000 0.5000 0.6898  2 Cr 2.63, 4 Zn 2.89
3 Cr 0.0000 0.0000 0.4594  2 Cr 2.20
4 Cr 0.5000 0.5000 0.2898  2 Cr 2.20

- Calculated formation energy: 0.504 eV per atom
- ρ: 7.37 g/cm3
- Total moment: 0.0 μB per formula unit

Record 13
The following is a PBE calculation of La2ZnCr after structural relaxation, from Alexandria via LeMat-Bulk.

Cell: 3.5405 3.5405 8.2832 Å, 90.00 90.00 90.00°
With the nearest neighbours (Å) after each atom.
Fractional positions:
1 La 0.0000 0.0000 0.0000  1 Zn 3.22, 4 Cr 3.26, 4 La 3.54
2 La 0.5000 0.5000 0.3596  1 Cr 3.21, 4 Zn 3.26, 4 La 3.54
3 Zn 0.0000 0.0000 0.6112  4 Cr 2.75
4 Cr 0.5000 0.5000 0.7475  4 Zn 2.75

- Calculated formation energy: 0.188 eV per atom
- ρ: 6.32 g/cm3
- Total moment: 3.6 μB per formula unit

Record 14
The following is a PBE calculation of LaZnCr2 after structural relaxation, from Alexandria via LeMat-Bulk.

Cell: 2.7338 2.7338 8.9605 Å, 90.00 90.00 90.00°
With the nearest neighbours (Å) after each atom.
Fractional positions:
1 La 0.0000 0.0000 0.0000  4 La 2.73
2 Zn 0.0000 0.0000 0.5000  8 Cr 2.68, 4 Zn 2.73
3 Cr 0.5000 0.5000 0.2935  4 Zn 2.68, 4 Cr 2.73
4 Cr 0.5000 0.5000 0.7065  4 Zn 2.68, 4 Cr 2.73

- Calculated formation energy: 0.819 eV per atom
- ρ: 7.64 g/cm3
- Total moment: 0.0 μB per formula unit

Record 15
The following is a PBE calculation of LaZnCr2 after structural relaxation, from Alexandria via LeMat-Bulk.

Cell: 4.6879 4.6879 5.5616 Å, 109.63 109.63 43.91°
With the nearest neighbours (Å) after each atom.
Fractional positions:
1 La 0.0000 0.0000 0.0000  6 Cr 3.09-3.26, 4 Zn 3.29
2 Zn 0.5000 0.5000 0.5000  6 Cr 2.58-2.61
3 Cr 0.2326 0.2326 0.6099  2 Cr 2.22
4 Cr 0.7674 0.7674 0.3901  2 Cr 2.22

- Calculated formation energy: 0.441 eV per atom
- ρ: 6.48 g/cm3
- Total moment: 0.0 μB per formula unit